--- A ---
A relaxed structure of NbSF3. Source: Alexandria, functional GGA-PBE.

Cell lengths 5.935, 7.760, 9.331 Å; angles 86.68, 90.00, 90.00 degrees
Atoms (fractional coordinates):
S 0.093 0.061 0.188
S 0.907 0.939 0.812
S 0.593 0.439 0.312
S 0.407 0.561 0.688
Nb 0.859 0.222 0.356
Nb 0.141 0.778 0.644
Nb 0.359 0.278 0.144
Nb 0.641 0.722 0.856
F 0.045 0.708 0.464
F 0.118 0.388 0.294
F 0.882 0.612 0.706
F 0.545 0.792 0.036
F 0.455 0.208 0.964
F 0.753 0.019 0.459
F 0.955 0.292 0.536
F 0.253 0.481 0.041
F 0.618 0.112 0.206
F 0.247 0.981 0.541
F 0.747 0.519 0.959
F 0.382 0.888 0.794



--- B ---
A relaxed structure of NbSF3. Source: Alexandria, functional GGA-PBE.

Cell lengths 4.332, 4.332, 4.332 Å; angles 90.00, 90.00, 90.00 degrees
Last column: magnetic moment on the atom in μB.
Atoms (fractional coordinates):
F 0.500 0.000 0.000  0.00
F 0.000 0.000 0.500  0.02
F 0.000 0.500 0.000  0.02
Nb 0.500 0.500 0.500  2.87
S 0.000 0.000 0.000  -0.09



Which one is the least stable? From the structures above, B.